Entry 1:
Density functional theory data (PBE) for AcVTe2 after structural relaxation.

The space group is P4/mmm (No. 123) and the conventional cell measures 3.8435, 3.8435 and 7.6636 Å, with angles of 90.00, 90.00 and 90.00 degrees. The distinct sites, in fractional coordinates, are Ac at (0.0000, 0.0000, 0.0000), V at (0.0000, 0.0000, 0.5000) and Te at (0.5000, 0.5000, 0.2774).

The total moment comes out at 3.5 Bohr magnetons per cell. The energy relative to the elements, uncorrected comes out at -0.4202 eV per atom. The calculation puts the electronic total energy at -5.2978 eV/atom. Its volume is 28.3 Å³/atom.

Entry 2:
Density functional theory data (PBE) for CeDy2Y3Er6 after structural relaxation.

The space group is C2/m (No. 12) and the conventional cell measures 6.1232, 10.5976 and 11.7054 Å, with angles of 90.00, 100.03 and 90.00 degrees. The distinct sites, in fractional coordinates, are Ce at (0.0000, 0.0000, 0.0000), Dy at (0.0000, 0.3334, 0.0000), Y at (0.0000, 0.1674, 0.5000), Y at (0.0000, 0.5000, 0.5000), Er at (0.2477, 0.0000, 0.7510) and Er at (0.2491, 0.1655, 0.2488).

Its formation energy is 0.040 eV/atom. The total moment comes out at 2.2 Bohr magnetons per cell. The calculation puts the electronic total energy at -5.1193 eV/atom. Its volume is 31.2 Å³/atom.

Entry 3:
Density functional theory data (PBE) for Na2InHg after structural relaxation.

The space group is I-42d (No. 122) and the conventional cell measures 8.6525, 8.6525 and 6.2068 Å, with angles of 90.00, 90.00 and 90.00 degrees. The distinct sites, in fractional coordinates, are Na at (0.2328, 0.2500, 0.1250), In at (0.0000, 0.0000, 0.5000) and Hg at (0.0000, 0.0000, 0.0000).

Its formation energy is -0.040 eV/atom. The total moment comes out at 0.0 Bohr magnetons per cell. The calculation puts the electronic total energy at -1.4599 eV/atom. Its volume is 29.0 Å³/atom.

Entry 4:
Density functional theory data (PBE) for YCrIr2 after structural relaxation.

The space group is P4/mmm (No. 123) and the conventional cell measures 2.9955, 2.9955 and 7.3958 Å, with angles of 90.00, 90.00 and 90.00 degrees. The distinct sites, in fractional coordinates, are Y at (0.0000, 0.0000, 0.0000), Cr at (0.0000, 0.0000, 0.5000) and Ir at (0.5000, 0.5000, 0.2981).

Its formation energy is -0.287 eV/atom. The total moment comes out at 1.2 Bohr magnetons per cell. The calculation puts the electronic total energy at -8.7389 eV/atom. Its volume is 16.6 Å³/atom.

Repeat the first record exactly.
Density functional theory data (PBE) for AcVTe2 after structural relaxation.

The space group is P4/mmm (No. 123) and the conventional cell measures 3.8435, 3.8435 and 7.6636 Å, with angles of 90.00, 90.00 and 90.00 degrees. The distinct sites, in fractional coordinates, are Ac at (0.0000, 0.0000, 0.0000), V at (0.0000, 0.0000, 0.5000) and Te at (0.5000, 0.5000, 0.2774).

The total moment comes out at 3.5 Bohr magnetons per cell. The energy relative to the elements, uncorrected comes out at -0.4202 eV per atom. The calculation puts the electronic total energy at -5.2978 eV/atom. Its volume is 28.3 Å³/atom.